VASP calculation (PBE-GGA) on a geometry-optimized Pm7In2Si2 structure.

Values from the calculation:
formation energy from raw total energies = -0.30 eV per atom
total moment = 0.000 μB/atom

Structure (POSCAR):
```
Pm7In2Si2
1.0
6.930 -0.003 -0.793
0.003 7.322 0.004
-1.224 -0.002 6.867
In Pm Si
2 7 2
Direct
0.828 0.500 0.828 In
0.172 0.500 0.172 In
0.500 0.269 0.000 Pm
0.500 0.752 0.500 Pm
0.000 0.731 0.500 Pm
0.500 0.731 0.000 Pm
0.000 0.269 0.500 Pm
0.000 0.000 0.000 Pm
0.500 0.248 0.500 Pm
0.280 0.000 0.720 Si
0.720 0.000 0.280 Si
```

VASP calculation (PBE-GGA) on a geometry-optimized NdScTe structure.

Values from the calculation:
formation energy from raw total energies = -0.93 eV per atom
total moment = 0.151 μB/atom

Structure (POSCAR):
```
NdScTe
1.0
-0.030 -4.258 0.881
3.466 -0.555 -2.566
5.153 1.344 6.670
Te Sc Nd
2 2 2
Direct
0.000 0.500 0.247 Te
0.500 0.000 0.753 Te
0.500 0.500 0.500 Sc
0.000 0.000 0.500 Sc
0.500 0.000 0.142 Nd
0.000 0.500 0.858 Nd
```

VASP calculation (PBE-GGA) on a geometry-optimized KSrZn2 structure.

Values from the calculation:
formation enthalpy at 0 K = 0.145 eV per atom
total moment = 0.000 μB/atom

Structure (POSCAR):
```
KSrZn2
1.0
-1.891 8.867 1.471
-1.287 7.199 5.556
2.230 8.359 3.082
Zn Sr K
2 1 1
Direct
0.493 0.493 0.493 Zn
0.007 0.007 0.007 Zn
0.750 0.750 0.750 Sr
0.250 0.250 0.250 K
```